The following is a PBE-GGA calculation of a geometry-optimized ErZr2Te4 structure, from the Alexandria database.

Cell and atoms, written as CIF:
```
data_ErZr2Te4
_cell_length_a 3.976
_cell_length_b 13.498
_cell_length_c 14.852
_cell_angle_alpha 90.00
_cell_angle_beta 90.00
_cell_angle_gamma 90.00
_symmetry_space_group_name_H-M 'C m c m'
_symmetry_Int_Tables_number 63
_symmetry_space_group_name_Hall '-C 2c 2'
loop_
_atom_site_label
_atom_site_fract_x
_atom_site_fract_y
_atom_site_fract_z
Er1 0.000 0.098 0.250
Zr1 0.000 0.346 0.059
Te1 0.000 0.000 0.000
Te2 0.000 0.292 0.627
Te3 0.000 0.432 0.250
```

Values from the calculation:
Calculated density ... 7.17 g/cm3
N(E_F) ... 0.7203 states/eV per atom
Uncorrected energy ... -5.79 eV per atom
Total magnetization ... 0.000 μB per atom

The following is a PBE-GGA calculation of a geometry-optimized CaSeIBr2 structure, from the Alexandria database.

Cell and atoms, written as CIF:
```
data_CaSeIBr2
_cell_length_a 5.421
_cell_length_b 5.421
_cell_length_c 6.202
_cell_angle_alpha 90.00
_cell_angle_beta 90.00
_cell_angle_gamma 90.00
_symmetry_space_group_name_H-M 'P 4/m m m'
_symmetry_Int_Tables_number 123
_symmetry_space_group_name_Hall '-P 4 2'
loop_
_atom_site_label
_atom_site_fract_x
_atom_site_fract_y
_atom_site_fract_z
Ca1 0.000 0.000 0.000
Se1 0.000 0.000 0.500
I1 0.500 0.500 0.500
Br1 0.000 0.500 0.000
```

Values from the calculation:
Calculated density ... 3.70 g/cm3
N(E_F) ... 1.5196 states/eV per atom
Uncorrected energy ... -2.62 eV per atom
Total magnetization ... 0.097 μB per atom

The following is a PBE-GGA calculation of a geometry-optimized ErScTcPt structure, from the Alexandria database.

Cell and atoms, written as CIF:
```
data_ErScTcPt
_cell_length_a 6.668
_cell_length_b 6.668
_cell_length_c 6.668
_cell_angle_alpha 90.00
_cell_angle_beta 90.00
_cell_angle_gamma 90.00
_symmetry_space_group_name_H-M 'F -4 3 m'
_symmetry_Int_Tables_number 216
_symmetry_space_group_name_Hall 'F -4 2 3'
loop_
_atom_site_label
_atom_site_fract_x
_atom_site_fract_y
_atom_site_fract_z
Er1 0.000 0.000 0.000
Sc1 0.000 0.000 0.500
Tc1 0.250 0.250 0.250
Pt1 0.250 0.250 0.750
```

Values from the calculation:
Calculated density ... 11.32 g/cm3
N(E_F) ... 0.6676 states/eV per atom
Total magnetization ... 0.000 μB per atom
Formation energy from the elements ... -0.658 eV/atom

The following is a PBE-GGA calculation of a geometry-optimized Rb2PtAu structure, from the Alexandria database.

Cell and atoms, written as CIF:
```
data_Rb2PtAu
_cell_length_a 11.851
_cell_length_b 11.851
_cell_length_c 5.279
_cell_angle_alpha 90.00
_cell_angle_beta 90.00
_cell_angle_gamma 90.00
_symmetry_space_group_name_H-M 'I -4 2 d'
_symmetry_Int_Tables_number 122
_symmetry_space_group_name_Hall 'I -4 2bw'
loop_
_atom_site_label
_atom_site_fract_x
_atom_site_fract_y
_atom_site_fract_z
Rb1 0.078 0.250 0.125
Pt1 0.000 0.000 0.000
Au1 0.000 0.000 0.500
```

Values from the calculation:
Calculated density ... 5.04 g/cm3
N(E_F) ... 0.3127 states/eV per atom
Total magnetization ... 0.000 μB per atom
Formation energy from the elements ... -0.017 eV/atom

The following is a PBE-GGA calculation of a geometry-optimized Ba2AgHgI structure, from the Alexandria database.

Cell and atoms, written as CIF:
```
data_Ba2AgHgI
_cell_length_a 6.458
_cell_length_b 6.458
_cell_length_c 5.282
_cell_angle_alpha 90.00
_cell_angle_beta 90.00
_cell_angle_gamma 90.00
_symmetry_space_group_name_H-M 'P 4/m m m'
_symmetry_Int_Tables_number 123
_symmetry_space_group_name_Hall '-P 4 2'
loop_
_atom_site_label
_atom_site_fract_x
_atom_site_fract_y
_atom_site_fract_z
Ba1 0.000 0.500 0.000
Ag1 0.000 0.000 0.000
Hg1 0.000 0.000 0.500
I1 0.500 0.500 0.500
```

Values from the calculation:
Calculated density ... 5.35 g/cm3
N(E_F) ... 0.9507 states/eV per atom
Uncorrected energy ... -2.23 eV per atom
Total magnetization ... 0.000 μB per atom

The following is a PBE-GGA calculation of a geometry-optimized MgRe2Ru structure, from the Alexandria database.

Cell and atoms, written as CIF:
```
data_MgRe2Ru
_cell_length_a 2.8037
_cell_length_b 2.8037
_cell_length_c 27.1658
_cell_angle_alpha 90.00
_cell_angle_beta 90.00
_cell_angle_gamma 120.00
_symmetry_space_group_name_H-M 'R 3 m'
_symmetry_Int_Tables_number 160
_symmetry_space_group_name_Hall 'R 3 -2"'
loop_
_atom_site_label
_atom_site_fract_x
_atom_site_fract_y
_atom_site_fract_z
Mg1 0.0000 0.0000 0.0000
Re1 0.0000 0.0000 0.2436
Re2 0.0000 0.0000 0.4974
Ru1 0.0000 0.0000 0.7519
```

Values from the calculation:
Calculated density ... 13.41 g/cm3
N(E_F) ... 1.3471 states/eV per atom
Total magnetization ... 0.000 μB per atom
Formation energy from the elements ... 0.161 eV/atom

The following is a PBE-GGA calculation of a geometry-optimized SrErTe2 structure, from the Alexandria database.

Cell and atoms, written as CIF:
```
data_SrErTe2
_cell_length_a 4.3897
_cell_length_b 4.3897
_cell_length_c 23.5953
_cell_angle_alpha 90.00
_cell_angle_beta 90.00
_cell_angle_gamma 120.00
_symmetry_space_group_name_H-M 'R 3 m'
_symmetry_Int_Tables_number 160
_symmetry_space_group_name_Hall 'R 3 -2"'
loop_
_atom_site_label
_atom_site_fract_x
_atom_site_fract_y
_atom_site_fract_z
Sr1 0.0000 0.0000 0.0000
Er1 0.0000 0.0000 0.1728
Te1 0.0000 0.0000 0.5785
Te2 0.0000 0.0000 0.7621
```

Values from the calculation:
Calculated density ... 6.45 g/cm3
N(E_F) ... 0.6608 states/eV per atom
Uncorrected energy ... -4.54 eV per atom
Total magnetization ... 0.000 μB per atom

The following is a PBE-GGA calculation of a geometry-optimized CrNi2HgIr structure, from the Alexandria database.

Cell and atoms, written as CIF:
```
data_CrNi2HgIr
_cell_length_a 4.193
_cell_length_b 4.193
_cell_length_c 4.908
_cell_angle_alpha 90.00
_cell_angle_beta 90.00
_cell_angle_gamma 90.00
_symmetry_space_group_name_H-M 'P 4/m m m'
_symmetry_Int_Tables_number 123
_symmetry_space_group_name_Hall '-P 4 2'
loop_
_atom_site_label
_atom_site_fract_x
_atom_site_fract_y
_atom_site_fract_z
Cr1 0.000 0.000 0.000
Ni1 0.000 0.500 0.000
Hg1 0.000 0.000 0.500
Ir1 0.500 0.500 0.500
```

Values from the calculation:
Calculated density ... 10.82 g/cm3
N(E_F) ... 1.0822 states/eV per atom
Total magnetization ... 0.590 μB per atom
Formation energy from the elements ... 1.517 eV/atom

| no. | calculated volume (Å³/cell) |
| --- | --- |
| 1 | 797 |
| 2 | 182 |
| 3 | 296 |
| 4 | 741 |
| 5 | 220 |
| 6 | 185 |
| 7 | 394 |
| 8 | 86 |